Version A
First-principles (PBE) data for a relaxed structure of Tb2Mg2O5, as listed in the Open Quantum Materials Database.

## Properties
**M_tot**: 0.0 μB/f.u.

```
Tb2Mg2O5
1.0
3.842 0.000 0.000
0.000 3.842 0.000
0.000 0.000 7.141
Tb Mg O
2 2 5
direct
0.000 0.000 0.000
0.000 0.000 0.500
0.500 0.500 0.238
0.500 0.500 0.762
0.000 0.500 0.201
0.000 0.500 0.799
0.500 0.000 0.201
0.500 0.000 0.799
0.500 0.500 0.500
```



Version B
First-principles (PBE) data for a relaxed structure of Tb2Mg2O5, as listed in the Open Quantum Materials Database.

## Properties
**M_tot**: 0.1 μB/f.u.

```
Tb2Mg2O5
1.0
4.045 0.000 0.000
0.000 4.045 0.000
0.000 0.000 8.394
Tb Mg O
2 2 5
direct
0.000 0.000 0.235
0.000 0.000 0.765
0.500 0.500 0.000
0.500 0.500 0.500
0.000 0.000 0.500
0.000 0.500 0.153
0.000 0.500 0.847
0.500 0.000 0.153
0.500 0.000 0.847
```



Of them, the most stable is version A and the least stable is version B.



Version A
First-principles (PBE) data for a relaxed structure of MgPaOs, as listed in the Open Quantum Materials Database.

## Properties
**M_tot**: 0.6 μB/f.u.

```
MgPaOs
1.0
0.000 3.251 3.251
3.251 0.000 3.251
3.251 3.251 0.000
Mg Pa Os
1 1 1
direct
0.000 0.000 0.000
0.500 0.500 0.500
0.250 0.250 0.250
```



Version B
First-principles (PBE) data for a relaxed structure of MgPaOs, as listed in the Open Quantum Materials Database.

## Properties
**M_tot**: 0.7 μB/f.u.

```
MgPaOs
1.0
0.000 3.287 3.287
3.287 0.000 3.287
3.287 3.287 0.000
Mg Pa Os
1 1 1
direct
0.000 0.000 0.000
0.250 0.250 0.250
0.500 0.500 0.500
```



Of them, the most stable is version A and the least stable is version B.